Compound: AcLuSiPd
Source: Alexandria
Functional: PBE
Structure: relaxed

Summary:
As for the crystal system: cubic. For the volume, the calculation gives 98 Å³/f.u. Its density of states at the Fermi level is 1.592 states/eV per cell. Its formation energy from raw total energies is -0.567 eV/atom. As for the final energy: -5.38 eV per atom. As for the symmetry: F-43m (216).

a = 5.177 Å, b = 5.177 Å, c = 5.177 Å
α = 60.00°, β = 60.00°, γ = 60.00°
Fractional positions:
Ac  0.000  0.000  0.000
Lu  0.500  0.500  0.500
Si  0.250  0.250  0.250
Pd  0.750  0.750  0.750


Compound: La3CeN4
Source: Alexandria
Functional: PBE
Structure: relaxed

Summary:
As for the crystal system: cubic. For the volume, the calculation gives 145 Å³/f.u. Its density of states at the Fermi level is 5.235 states/eV per cell. Its formation energy from raw total energies is -1.335 eV/atom. The value obtained for the offset from the most stable computed form is 0.027 eV/atom. As for the final energy: -8.09 eV per atom. As for the symmetry: Pm-3m (221).

a = 5.248 Å, b = 5.248 Å, c = 5.248 Å
α = 90.00°, β = 90.00°, γ = 90.00°
Fractional positions:
La  0.000  0.000  0.500
La  0.000  0.500  0.000
La  0.500  0.000  0.000
Ce  0.500  0.500  0.500
N  0.000  0.000  0.000
N  0.000  0.500  0.500
N  0.500  0.000  0.500
N  0.500  0.500  0.000


Compound: Ce4HN2O
Source: Alexandria
Functional: PBE
Structure: relaxed

Summary:
As for the crystal system: orthorhombic. For the volume, the calculation gives 126 Å³/f.u. Its density of states at the Fermi level is 18.870 states/eV per cell. As for the final energy: -7.66 eV per atom. As for the symmetry: Imma (74).

a = 7.076 Å, b = 7.076 Å, c = 7.076 Å
α = 120.20°, β = 119.07°, γ = 90.63°
Fractional positions:
Ce  0.251  0.249  0.498
Ce  0.251  0.754  0.002
Ce  0.260  0.249  0.011
Ce  0.262  0.751  0.511
Ce  0.738  0.249  0.489
Ce  0.740  0.751  0.989
Ce  0.749  0.246  0.998
Ce  0.749  0.751  0.502
H  0.000  0.000  0.500
H  0.000  0.500  0.000
N  0.000  0.000  0.000
N  0.500  0.000  0.000
N  0.500  0.000  0.500
N  0.500  0.500  0.500
O  0.000  0.500  0.500
O  0.500  0.500  0.000


Compound: RhAuS2
Source: Alexandria
Functional: PBE
Structure: relaxed

Summary:
As for the crystal system: tetragonal. For the volume, the calculation gives 67 Å³/f.u. Its density of states at the Fermi level is 2.736 states/eV per cell. Its formation energy from raw total energies is 0.137 eV/atom. As for the final energy: -4.58 eV per atom. As for the symmetry: P4/mmm (123).

a = 3.615 Å, b = 3.615 Å, c = 5.106 Å
α = 90.00°, β = 90.00°, γ = 90.00°
Fractional positions:
Rh  0.000  0.000  0.000
Au  0.500  0.500  0.500
S  0.000  0.000  0.500
S  0.500  0.500  0.000


Compound: Ga2PIBr
Source: Alexandria
Functional: PBE
Structure: relaxed

Summary:
As for the crystal system: tetragonal. For the volume, the calculation gives 202 Å³/f.u. Its density of states at the Fermi level is 0.967 states/eV per cell. Its formation energy from raw total energies is 0.763 eV/atom. As for the final energy: -2.17 eV per atom. As for the symmetry: P4/mmm (123).

a = 5.849 Å, b = 5.849 Å, c = 5.901 Å
α = 90.00°, β = 90.00°, γ = 90.00°
Fractional positions:
Ga  0.000  0.500  0.000
Ga  0.500  0.000  0.000
P  0.000  0.000  0.500
I  0.500  0.500  0.500
Br  0.500  0.500  0.000


Compound: LaSc2BeSb
Source: Alexandria
Functional: PBE
Structure: relaxed

Summary:
As for the crystal system: tetragonal. For the volume, the calculation gives 118 Å³/f.u. Its density of states at the Fermi level is 7.757 states/eV per cell. Its formation energy from raw total energies is -0.003 eV/atom. As for the final energy: -5.09 eV per atom. As for the symmetry: P4/mmm (123).

a = 4.974 Å, b = 4.974 Å, c = 4.755 Å
α = 90.00°, β = 90.00°, γ = 90.00°
Fractional positions:
La  0.000  0.000  0.000
Sc  0.000  0.500  0.500
Sc  0.500  0.000  0.500
Be  0.500  0.500  0.500
Sb  0.500  0.500  0.000


Compound: AcAl3Si2
Source: Alexandria
Functional: PBE
Structure: relaxed

Summary:
As for the crystal system: monoclinic. For the volume, the calculation gives 122 Å³/f.u. Its density of states at the Fermi level is 4.163 states/eV per cell. Its formation energy from raw total energies is -0.249 eV/atom. As for the final energy: -4.61 eV per atom. As for the symmetry: C2/m (12).

a = 8.332 Å, b = 8.332 Å, c = 8.020 Å
α = 117.72°, β = 117.72°, γ = 30.07°
Fractional positions:
Ac  0.152  0.152  0.244
Ac  0.848  0.848  0.756
Al  0.035  0.035  0.704
Al  0.309  0.309  0.071
Al  0.413  0.413  0.496
Al  0.587  0.587  0.504
Al  0.691  0.691  0.929
Al  0.965  0.965  0.296
Si  0.186  0.186  0.699
Si  0.478  0.478  0.123
Si  0.522  0.522  0.877
Si  0.814  0.814  0.301


Compound: TbY2ScS4
Source: Alexandria
Functional: PBE
Structure: relaxed

Summary:
As for the crystal system: monoclinic. For the volume, the calculation gives 164 Å³/f.u. Its density of states at the Fermi level is 5.147 states/eV per cell. Its formation energy from raw total energies is -1.951 eV/atom. As for the final energy: -7.00 eV per atom. As for the symmetry: P2/m (10).

a = 6.720 Å, b = 3.843 Å, c = 6.720 Å
α = 90.00°, β = 109.16°, γ = 90.00°
Fractional positions:
Tb  0.000  0.000  0.000
Y  0.000  0.500  0.500
Y  0.500  0.000  0.500
Sc  0.500  0.500  0.000
S  0.256  0.500  0.245
S  0.262  0.000  0.761
S  0.738  0.000  0.239
S  0.744  0.500  0.755


Compound: Li3Dy2Tl3
Source: Alexandria
Functional: PBE
Structure: relaxed

Summary:
As for the crystal system: hexagonal. For the volume, the calculation gives 214 Å³/f.u. Its density of states at the Fermi level is 11.923 states/eV per cell. The calculation puts the formation enthalpy at 0 K at -0.178 eV/atom. As for the final energy: -2.93 eV per atom. As for the symmetry: P6_3/mcm (193).

a = 8.783 Å, b = 8.783 Å, c = 6.399 Å
α = 90.00°, β = 90.00°, γ = 120.00°
Fractional positions:
Li  0.000  0.275  0.250
Li  0.000  0.725  0.750
Li  0.275  0.000  0.250
Li  0.275  0.275  0.750
Li  0.725  0.000  0.750
Li  0.725  0.725  0.250
Dy  0.333  0.667  0.000
Dy  0.333  0.667  0.500
Dy  0.667  0.333  0.000
Dy  0.667  0.333  0.500
Tl  0.000  0.374  0.750
Tl  0.000  0.626  0.250
Tl  0.374  0.000  0.750
Tl  0.374  0.374  0.250
Tl  0.626  0.000  0.250
Tl  0.626  0.626  0.750


Compound: Bi2Br2O
Source: Alexandria
Functional: PBE
Structure: relaxed

Summary:
As for the crystal system: tetragonal. For the volume, the calculation gives 145 Å³/f.u. Its density of states at the Fermi level is 2.966 states/eV per cell. Its formation energy from raw total energies is 0.440 eV/atom. The value obtained for the offset from the most stable computed form is 0.920 eV/atom. As for the final energy: -2.77 eV per atom. As for the symmetry: I4/mmm (139).

a = 7.834 Å, b = 7.834 Å, c = 7.834 Å
α = 146.58°, β = 146.58°, γ = 47.98°
Fractional positions:
Bi  0.104  0.104  0.000
Bi  0.896  0.896  0.000
Br  0.250  0.750  0.500
Br  0.750  0.250  0.500
O  0.500  0.500  0.000


Compound: NpSc2Au
Source: Alexandria
Functional: PBE
Structure: relaxed

Summary:
As for the crystal system: tetragonal. For the volume, the calculation gives 84 Å³/f.u. Its density of states at the Fermi level is 7.478 states/eV per cell. The calculation puts the formation enthalpy at 0 K at -0.051 eV/atom. The value obtained for the offset from the most stable computed form is 0.113 eV/atom. As for the final energy: -7.27 eV per atom. As for the symmetry: P4/mmm (123).

a = 5.058 Å, b = 5.058 Å, c = 3.265 Å
α = 90.00°, β = 90.00°, γ = 90.00°
Fractional positions:
Np  0.000  0.000  0.000
Sc  0.000  0.500  0.500
Sc  0.500  0.000  0.500
Au  0.500  0.500  0.000


Compound: Th6CuBi3
Source: Alexandria
Functional: PBE
Structure: relaxed

Summary:
As for the crystal system: orthorhombic. For the volume, the calculation gives 307 Å³/f.u. Its density of states at the Fermi level is 21.153 states/eV per cell. The calculation puts the formation enthalpy at 0 K at -0.184 eV/atom. As for the final energy: -6.21 eV per atom. As for the symmetry: Cmc2_1 (36).

a = 10.431 Å, b = 10.431 Å, c = 6.352 Å
α = 90.00°, β = 90.00°, γ = 117.29°
Fractional positions:
Th  0.012  0.988  0.500
Th  0.085  0.592  0.442
Th  0.239  0.391  0.757
Th  0.251  0.749  0.922
Th  0.391  0.239  0.257
Th  0.408  0.915  0.442
Th  0.592  0.085  0.942
Th  0.609  0.761  0.757
Th  0.749  0.251  0.422
Th  0.761  0.609  0.257
Th  0.915  0.408  0.942
Th  0.988  0.012  0.000
Cu  0.133  0.867  0.224
Cu  0.867  0.133  0.724
Bi  0.092  0.300  0.272
Bi  0.300  0.092  0.772
Bi  0.416  0.584  0.246
Bi  0.584  0.416  0.746
Bi  0.700  0.908  0.272
Bi  0.908  0.700  0.772